--- i ---
Material: MnMoBr2
Method: DFT, GGA-PBE
State: optimized geometry

abc: 3.360 4.072 7.668
angles: 75.34 90.00 90.00
Fractional coordinates of all 4 atoms:
Br1 0.000 0.967 0.893
Br2 0.500 0.276 0.358
Mn1 0.000 0.438 0.603
Mo1 0.500 0.819 0.646

Calculated values
The density of states at the Fermi level is 0.184 states/eV/atom. Its space-group type is No. 6.

=====

--- ii ---
Material: MnMoBr2
Method: DFT, GGA-PBE
State: optimized geometry

abc: 6.221 6.221 6.221
angles: 143.19 143.19 53.05
Fractional coordinates of all 4 atoms:
Br1 0.000 0.000 0.000
Br2 0.250 0.750 0.500
Mn1 0.500 0.500 0.000
Mo1 0.750 0.250 0.500

Calculated values
The density of states at the Fermi level is 0.693 states/eV/atom. Its space-group type is No. 119.

=====

--- iii ---
Material: MnMoBr2
Method: DFT, GGA-PBE
State: optimized geometry

abc: 5.588 5.588 6.690
angles: 65.32 65.32 90.00
Fractional coordinates of all 8 atoms:
Mo1 0.000 0.000 0.000
Mo2 0.750 0.250 0.500
Mn1 0.500 0.500 0.000
Mn2 0.250 0.750 0.500
Br1 0.600 0.125 0.250
Br2 0.150 0.625 0.250
Br3 0.375 0.400 0.750
Br4 0.875 0.850 0.750

Calculated values
The density of states at the Fermi level is 0.737 states/eV/atom. Its space-group type is No. 122.

=====

Short version: i is the most stable of them.

=====

--- i ---
Material: MnMoBr2
Method: DFT, GGA-PBE
State: optimized geometry

abc: 9.766 9.766 9.766
angles: 19.11 19.11 19.11
Fractional coordinates of all 4 atoms:
Br1 0.019 0.019 0.019
Br2 0.481 0.481 0.481
Mn1 0.250 0.250 0.250
Mo1 0.750 0.750 0.750

Calculated values
The density of states at the Fermi level is 0.747 states/eV/atom. Its space-group type is No. 166.

=====

--- ii ---
Material: MnMoBr2
Method: DFT, GGA-PBE
State: optimized geometry

abc: 3.294 5.563 5.583
angles: 48.54 90.00 90.00
Fractional coordinates of all 4 atoms:
Br1 0.000 0.000 0.000
Br2 0.500 0.500 0.000
Mn1 0.500 0.500 0.500
Mo1 0.000 0.000 0.500

Calculated values
The density of states at the Fermi level is 0.748 states/eV/atom. Its space-group type is No. 10.

=====

--- iii ---
Material: MnMoBr2
Method: DFT, GGA-PBE
State: optimized geometry

abc: 3.147 5.950 4.394
angles: 90.00 90.00 90.00
Fractional coordinates of all 4 atoms:
Br1 0.000 0.000 0.000
Br2 0.500 0.500 0.000
Mn1 0.500 0.000 0.500
Mo1 0.000 0.500 0.500

Calculated values
The density of states at the Fermi level is 1.000 states/eV/atom. Its space-group type is No. 47.

=====

Short version: i is the most stable of them.